No. 1
DFT (PBE) results for a relaxed structure of CsAgF3.

Unit cell a=6.372 b=6.372 c=6.372 alpha=118.95 beta=118.95 gamma=91.83
Fractional positions:
1 Cs 0.250 0.250 0.000
2 Cs 0.750 0.750 0.000
3 Ag 0.000 0.500 0.500
4 Ag 0.500 0.000 0.500
5 F 0.233 0.733 0.965
6 F 0.250 0.750 0.500
7 F 0.267 0.233 0.500
8 F 0.733 0.767 0.500
9 F 0.750 0.250 0.500
10 F 0.767 0.267 0.035

Energy: -3.747 eV per atom
DOS(E_F): 1.610 states/eV/cell

=====

No. 2
DFT (PBE) results for a relaxed structure of Re2NiPt.

Unit cell a=6.840 b=6.840 c=6.840 alpha=134.22 beta=134.22 gamma=66.74
Fractional positions:
1 Re 0.098 0.625 0.973
2 Re 0.375 0.348 0.473
3 Re 0.652 0.125 0.027
4 Re 0.875 0.902 0.527
5 Ni 0.000 0.000 0.000
6 Ni 0.750 0.250 0.500
7 Pt 0.250 0.750 0.500
8 Pt 0.500 0.500 0.000

Energy: -7.785 eV per atom
Distance to the lowest polymorph of the same formula: 556 kJ/mol of formula units
DOS(E_F): 7.386 states/eV/cell

=====

No. 3
DFT (PBE) results for a relaxed structure of BeZnRh2.

Unit cell a=2.867 b=2.867 c=6.009 alpha=90.00 beta=90.00 gamma=90.00
Fractional positions:
1 Be 0.000 0.000 0.000
2 Zn 0.000 0.000 0.500
3 Rh 0.500 0.500 0.225
4 Rh 0.500 0.500 0.775

Energy: -5.389 eV per atom
Distance to the lowest polymorph of the same formula: 0 kJ/mol of formula units
DOS(E_F): 4.863 states/eV/cell

=====

No. 4
DFT (PBE) results for a relaxed structure of Nd3Er4Th.

Unit cell a=3.613 b=7.226 c=9.951 alpha=89.96 beta=89.94 gamma=89.99
Fractional positions:
1 Nd 0.000 0.000 0.000
2 Nd 0.000 0.000 0.500
3 Nd 0.000 0.500 0.000
4 Er 0.500 0.254 0.255
5 Er 0.500 0.254 0.745
6 Er 0.500 0.746 0.255
7 Er 0.500 0.746 0.745
8 Th 0.000 0.500 0.500

Energy: -4.977 eV per atom
Distance to the lowest polymorph of the same formula: 0 kJ/mol of formula units
DOS(E_F): 10.794 states/eV/cell

=====

No. 5
DFT (PBE) results for a relaxed structure of YAs3S.

Unit cell a=4.817 b=4.817 c=4.817 alpha=90.00 beta=90.00 gamma=90.00
Fractional positions:
1 Y 0.000 0.000 0.000
2 As 0.000 0.500 0.500
3 As 0.500 0.000 0.500
4 As 0.500 0.500 0.000
5 S 0.500 0.500 0.500

Energy: -4.927 eV per atom
Distance to the lowest polymorph of the same formula: 0 kJ/mol of formula units
DOS(E_F): 2.733 states/eV/cell

=====

No. 6
DFT (PBE) results for a relaxed structure of LiMoOs2.

Unit cell a=5.632 b=5.632 c=5.632 alpha=102.36 beta=102.36 gamma=124.88
Fractional positions:
1 Li 0.000 0.000 0.000
2 Li 0.750 0.250 0.500
3 Mo 0.250 0.750 0.500
4 Mo 0.500 0.500 0.000
5 Os 0.153 0.125 0.528
6 Os 0.375 0.847 0.972
7 Os 0.597 0.625 0.472
8 Os 0.875 0.403 0.028

Energy: -7.981 eV per atom
Distance to the lowest polymorph of the same formula: 267 kJ/mol of formula units
DOS(E_F): 4.742 states/eV/cell

=====

Calculated density in g/cm³, matching the order above: 5.32; 12.86; 9.42; 8.53; 5.14; 12.35